[1]
## Li4Zn3In (PBE)

Data for an optimized crystal structure of Li4Zn3In.

Results
The space group is Pmma, No. 51. As for the energy of formation: -129.9 kJ/mol of formula units. The total energy is -31.123 eV per cell. For the density of states at the Fermi level, the calculation gives 6.8 states/eV per cell.

Geometry as POSCAR:
```
Li4Zn3In
1.0
9.222 0.000 0.000
0.000 5.711 0.000
0.000 0.000 4.987
Li Zn In
8 6 2
Direct
0.000 0.244 0.000
0.000 0.756 0.000
0.250 0.243 0.314
0.250 0.757 0.314
0.500 0.244 0.000
0.500 0.756 0.000
0.750 0.243 0.686
0.750 0.757 0.686
0.000 0.000 0.500
0.250 0.000 0.803
0.250 0.500 0.835
0.500 0.000 0.500
0.750 0.000 0.197
0.750 0.500 0.165
0.000 0.500 0.500
0.500 0.500 0.500
```

***

[2]
## LiZn2In (PBE)

Data for an optimized crystal structure of LiZn2In.

Results
The space group is C2/m, No. 12. As for the energy of formation: -14.2 kJ/mol of formula units. The total energy is -7.347 eV per cell. For the density of states at the Fermi level, the calculation gives 1.0 states/eV per cell.

Geometry as POSCAR:
```
LiZn2In
1.0
2.896 -4.913 0.000
2.896 4.913 0.000
-1.516 0.000 2.548
Li Zn In
1 2 1
Direct
0.000 0.000 0.000
0.000 0.500 0.000
0.500 0.000 0.000
0.500 0.500 0.000
```